[1]
Compound: TlFeMoPd
Source: OQMD via LeMat-Bulk
Functional: PBE
Structure: optimized geometry

- total magnetic moment (μB/cell) = 1.35
- ΔE to the lowest computed polymorph (meV/atom) = 0
- space-group type = F-43m

a b c (Å): 4.5244 4.5244 4.5244
angles (deg): 60.00 60.00 60.00
Closest atoms and distances in Å follow each position.
Fractional positions:
1 Tl 0.0000 0.0000 0.0000  4 Pd 2.77, 4 Fe 2.77
2 Fe 0.2500 0.2500 0.2500  4 Tl 2.77, 4 Mo 2.77
3 Mo 0.5000 0.5000 0.5000  4 Fe 2.77, 4 Pd 2.77
4 Pd 0.7500 0.7500 0.7500  4 Tl 2.77, 4 Mo 2.77



[2]
Compound: PrGdGa2Au2
Source: OQMD via LeMat-Bulk
Functional: PBE
Structure: optimized geometry

- total magnetic moment (μB/cell) = 0.00
- ΔE to the lowest computed polymorph (meV/atom) = 0
- space-group type = P-6m2

a b c (Å): 4.5877 4.5877 7.3623
angles (deg): 90.00 90.00 120.00
Closest atoms and distances in Å follow each position.
Fractional positions:
1 Pr 0.0000 0.0000 0.0000  6 Au 3.25, 6 Ga 3.40
2 Gd 0.0000 0.0000 0.5000  6 Ga 3.07, 6 Au 3.20
3 Ga 0.3333 0.6667 0.2886  3 Au 2.66
4 Ga 0.3333 0.6667 0.7114  3 Au 2.66
5 Au 0.6667 0.3333 0.2562  3 Ga 2.66
6 Au 0.6667 0.3333 0.7438  3 Ga 2.66



[3]
Compound: CsZrCuTeSe2
Source: OQMD via LeMat-Bulk
Functional: PBE
Structure: optimized geometry

- total magnetic moment (μB/cell) = 0.00
- energy (eV/atom) = -4.89
- space-group type = Cmcm

a b c (Å): 8.6920 8.6920 10.6763
angles (deg): 90.00 90.00 153.45
Closest atoms and distances in Å follow each position.
Fractional positions:
1 Cs 0.2343 0.7657 0.7500  4 Se 3.60, 2 Te 3.82, 2 Cs 3.99
2 Cs 0.7657 0.2343 0.2500  4 Se 3.60, 2 Te 3.82, 2 Cs 3.99
3 Zr 0.0000 0.0000 0.0000  4 Se 2.74, 2 Te 2.94
4 Zr 0.0000 0.0000 0.5000  4 Se 2.74, 2 Te 2.94
5 Cu 0.4730 0.5270 0.2500  2 Se 2.43, 2 Te 2.62
6 Cu 0.5270 0.4730 0.7500  2 Se 2.43, 2 Te 2.62
7 Te 0.0733 0.9267 0.2500  2 Cu 2.62
8 Te 0.9267 0.0733 0.7500  2 Cu 2.62
9 Se 0.3952 0.6048 0.0586  1 Cu 2.43
10 Se 0.3952 0.6048 0.4414  1 Cu 2.43
11 Se 0.6048 0.3952 0.5586  1 Cu 2.43
12 Se 0.6048 0.3952 0.9414  1 Cu 2.43



[4]
Compound: TbTmAg2Sn2
Source: OQMD via LeMat-Bulk
Functional: PBE
Structure: optimized geometry

- total magnetic moment (μB/cell) = 0.00
- energy (eV/atom) = -4.37
- space-group type = P3m1

a b c (Å): 4.7234 4.7234 7.3024
angles (deg): 90.00 90.00 120.00
Closest atoms and distances in Å follow each position.
Fractional positions:
1 Tb 0.0000 0.0000 0.0000  3 Ag 3.06, 6 Sn 3.17-3.41
2 Tm 0.0000 0.0000 0.5007  3 Ag 3.05, 6 Sn 3.16-3.40
3 Ag 0.3333 0.6667 0.1915  4 Sn 2.80-3.02, 3 Tb 3.06
4 Ag 0.6667 0.3333 0.6879  4 Sn 2.81-2.97, 3 Tm 3.05
5 Sn 0.3333 0.6667 0.7781  4 Ag 2.81-3.02
6 Sn 0.6667 0.3333 0.2811  4 Ag 2.80-2.97



total magnetic moment of number 3 (CsZrCuTeSe2)?
0.00 μB/cell



Repeat the second record exactly.
Compound: PrGdGa2Au2
Source: OQMD via LeMat-Bulk
Functional: PBE
Structure: optimized geometry

- total magnetic moment (μB/cell) = 0.00
- ΔE to the lowest computed polymorph (meV/atom) = 0
- space-group type = P-6m2

a b c (Å): 4.5877 4.5877 7.3623
angles (deg): 90.00 90.00 120.00
Closest atoms and distances in Å follow each position.
Fractional positions:
1 Pr 0.0000 0.0000 0.0000  6 Au 3.25, 6 Ga 3.40
2 Gd 0.0000 0.0000 0.5000  6 Ga 3.07, 6 Au 3.20
3 Ga 0.3333 0.6667 0.2886  3 Au 2.66
4 Ga 0.3333 0.6667 0.7114  3 Au 2.66
5 Au 0.6667 0.3333 0.2562  3 Ga 2.66
6 Au 0.6667 0.3333 0.7438  3 Ga 2.66



Which value of total magnetic moment does entry 1 give?
1.35 μB/cell



Look up the total magnetic moment of the first one.
1.35 μB/cell